Record 1
{
  "formula": "K3P4H5O14",
  "functional": "meta-GGA SCAN",
  "state": "single point on PBEsol structure",
  "lattice_angstrom": [[8.629, -4.476, 0.000], [8.629, 4.476, 0.000], [-6.972, 0.000, 8.490]],
  "species": ["K", "K", "K", "K", "K", "K", "P", "P", "P", "P", "P", "P", "P", "P", "H", "H", "H", "H", "H", "H", "H", "H", "H", "H", "O", "O", "O", "O", "O", "O", "O", "O", "O", "O", "O", "O", "O", "O", "O", "O", "O", "O", "O", "O", "O", "O", "O", "O", "O", "O", "O", "O"],
  "frac_coords": [[0.059, 0.941, 0.750], [0.293, 0.404, 0.582], [0.404, 0.293, 0.082], [0.596, 0.707, 0.918], [0.707, 0.596, 0.418], [0.941, 0.059, 0.250], [0.007, 0.628, 0.827], [0.231, 0.712, 0.425], [0.288, 0.769, 0.075], [0.372, 0.993, 0.673], [0.628, 0.007, 0.327], [0.712, 0.231, 0.925], [0.769, 0.288, 0.575], [0.993, 0.372, 0.173], [0.007, 0.648, 0.213], [0.216, 0.292, 0.744], [0.292, 0.216, 0.244], [0.352, 0.993, 0.287], [0.500, 0.500, 0.000], [0.500, 0.500, 0.500], [0.648, 0.007, 0.713], [0.708, 0.784, 0.756], [0.784, 0.708, 0.256], [0.993, 0.352, 0.787], [0.012, 0.638, 0.698], [0.085, 0.720, 0.260], [0.090, 0.765, 0.996], [0.108, 0.442, 0.843], [0.184, 0.688, 0.518], [0.187, 0.300, 0.178], [0.235, 0.910, 0.504], [0.280, 0.915, 0.240], [0.300, 0.187, 0.678], [0.312, 0.816, 0.982], [0.362, 0.988, 0.802], [0.415, 0.574, 0.406], [0.426, 0.585, 0.094], [0.442, 0.108, 0.343], [0.558, 0.892, 0.657], [0.574, 0.415, 0.906], [0.585, 0.426, 0.594], [0.638, 0.012, 0.198], [0.688, 0.184, 0.018], [0.700, 0.813, 0.322], [0.720, 0.085, 0.760], [0.765, 0.090, 0.496], [0.813, 0.700, 0.822], [0.816, 0.312, 0.482], [0.892, 0.558, 0.157], [0.910, 0.235, 0.004], [0.915, 0.280, 0.740], [0.988, 0.362, 0.302]],
  "total_energy_ev_per_atom": -8.6795
}

---

Record 2
{
  "formula": "KPH2O2",
  "functional": "meta-GGA SCAN",
  "state": "single point on PBEsol structure",
  "lattice_angstrom": [[3.652, -3.633, 0.000], [3.652, 3.633, 0.000], [-3.177, 0.000, 6.362]],
  "species": ["K", "K", "P", "P", "H", "H", "H", "H", "O", "O", "O", "O"],
  "frac_coords": [[0.144, 0.856, 0.750], [0.856, 0.144, 0.250], [0.318, 0.682, 0.250], [0.682, 0.318, 0.750], [0.309, 0.426, 0.090], [0.426, 0.309, 0.590], [0.574, 0.691, 0.410], [0.691, 0.574, 0.910], [0.085, 0.664, 0.334], [0.336, 0.915, 0.166], [0.664, 0.085, 0.834], [0.915, 0.336, 0.666]],
  "total_energy_ev_per_atom": -7.8441
}

---

Record 3
{
  "formula": "KPHO3",
  "functional": "meta-GGA SCAN",
  "state": "single point on PBEsol structure",
  "lattice_angstrom": [[8.287, 0.000, 0.000], [0.272, 8.284, 0.000], [0.872, 1.579, 10.566]],
  "species": ["K", "K", "K", "K", "K", "K", "K", "K", "P", "P", "P", "P", "P", "P", "P", "P", "H", "H", "H", "H", "H", "H", "H", "H", "O", "O", "O", "O", "O", "O", "O", "O", "O", "O", "O", "O", "O", "O", "O", "O", "O", "O", "O", "O", "O", "O", "O", "O"],
  "frac_coords": [[0.088, 0.186, 0.074], [0.209, 0.391, 0.418], [0.269, 0.792, 0.548], [0.317, 0.720, 0.051], [0.683, 0.280, 0.949], [0.731, 0.208, 0.452], [0.791, 0.609, 0.582], [0.912, 0.814, 0.926], [0.015, 0.786, 0.286], [0.132, 0.498, 0.801], [0.287, 0.041, 0.785], [0.439, 0.356, 0.693], [0.561, 0.644, 0.307], [0.713, 0.959, 0.215], [0.868, 0.502, 0.199], [0.985, 0.214, 0.714], [0.256, 0.068, 0.355], [0.345, 0.084, 0.364], [0.390, 0.302, 0.099], [0.429, 0.237, 0.147], [0.571, 0.763, 0.853], [0.610, 0.698, 0.901], [0.655, 0.916, 0.636], [0.744, 0.932, 0.645], [0.030, 0.329, 0.816], [0.031, 0.638, 0.742], [0.048, 0.685, 0.410], [0.139, 0.901, 0.217], [0.155, 0.117, 0.686], [0.197, 0.499, 0.926], [0.202, 0.986, 0.913], [0.273, 0.469, 0.691], [0.386, 0.202, 0.801], [0.393, 0.924, 0.722], [0.431, 0.560, 0.256], [0.462, 0.306, 0.564], [0.538, 0.694, 0.436], [0.569, 0.440, 0.744], [0.607, 0.076, 0.278], [0.614, 0.798, 0.199], [0.727, 0.531, 0.309], [0.798, 0.014, 0.087], [0.803, 0.501, 0.074], [0.845, 0.883, 0.314], [0.861, 0.099, 0.783], [0.952, 0.315, 0.590], [0.969, 0.362, 0.258], [0.970, 0.671, 0.184]],
  "total_energy_ev_per_atom": -8.8761
}

---

Record 4
{
  "formula": "K2PH4O5",
  "functional": "meta-GGA SCAN",
  "state": "single point on PBEsol structure",
  "lattice_angstrom": [[4.051, -6.063, 0.000], [4.051, 6.063, 0.000], [-0.582, 0.000, 11.800]],
  "species": ["K", "K", "K", "K", "K", "K", "K", "K", "P", "P", "P", "P", "H", "H", "H", "H", "H", "H", "H", "H", "H", "H", "H", "H", "H", "H", "H", "H", "O", "O", "O", "O", "O", "O", "O", "O", "O", "O", "O", "O", "O", "O", "O", "O", "O", "O", "O", "O"],
  "frac_coords": [[0.034, 0.966, 0.500], [0.184, 0.573, 0.034], [0.391, 0.644, 0.561], [0.573, 0.184, 0.534], [0.631, 0.859, 0.242], [0.644, 0.391, 0.061], [0.859, 0.631, 0.742], [0.966, 0.034, 0.000], [0.281, 0.316, 0.282], [0.316, 0.281, 0.782], [0.322, 0.983, 0.789], [0.983, 0.322, 0.289], [0.031, 0.350, 0.635], [0.052, 0.895, 0.193], [0.215, 0.734, 0.358], [0.304, 0.962, 0.330], [0.344, 0.956, 0.005], [0.350, 0.031, 0.135], [0.527, 0.599, 0.905], [0.588, 0.829, 0.885], [0.599, 0.527, 0.405], [0.669, 0.964, 0.719], [0.734, 0.215, 0.858], [0.829, 0.588, 0.385], [0.895, 0.052, 0.693], [0.956, 0.344, 0.505], [0.962, 0.304, 0.830], [0.964, 0.669, 0.219], [0.012, 0.543, 0.316], [0.097, 0.241, 0.740], [0.190, 0.873, 0.885], [0.241, 0.097, 0.240], [0.251, 0.888, 0.670], [0.325, 0.865, 0.383], [0.353, 0.376, 0.903], [0.376, 0.353, 0.403], [0.395, 0.468, 0.197], [0.422, 0.981, 0.079], [0.468, 0.395, 0.697], [0.543, 0.012, 0.816], [0.638, 0.733, 0.920], [0.733, 0.638, 0.420], [0.765, 0.949, 0.662], [0.865, 0.325, 0.883], [0.873, 0.190, 0.385], [0.888, 0.251, 0.170], [0.949, 0.765, 0.162], [0.981, 0.422, 0.579]],
  "total_energy_ev_per_atom": -7.7346
}

---

Record 5
{
  "formula": "K2PH3SO8",
  "functional": "meta-GGA SCAN",
  "state": "single point on PBEsol structure",
  "lattice_angstrom": [[7.105, 0.000, 0.000], [0.050, 7.374, 0.000], [1.113, 0.250, 7.301]],
  "species": ["K", "K", "K", "K", "P", "P", "H", "H", "H", "H", "H", "H", "S", "S", "O", "O", "O", "O", "O", "O", "O", "O", "O", "O", "O", "O", "O", "O", "O", "O"],
  "frac_coords": [[0.093, 0.198, 0.302], [0.391, 0.702, 0.205], [0.609, 0.298, 0.795], [0.907, 0.802, 0.698], [0.089, 0.294, 0.759], [0.911, 0.706, 0.241], [0.000, 0.500, 0.000], [0.224, 0.066, 0.894], [0.272, 0.510, 0.606], [0.500, 0.000, 0.500], [0.728, 0.490, 0.394], [0.776, 0.934, 0.106], [0.405, 0.793, 0.740], [0.595, 0.207, 0.260], [0.021, 0.543, 0.151], [0.029, 0.840, 0.321], [0.202, 0.204, 0.909], [0.247, 0.373, 0.600], [0.261, 0.866, 0.887], [0.309, 0.715, 0.595], [0.472, 0.339, 0.182], [0.473, 0.048, 0.348], [0.527, 0.952, 0.652], [0.528, 0.661, 0.818], [0.691, 0.285, 0.405], [0.739, 0.134, 0.113], [0.753, 0.627, 0.400], [0.798, 0.796, 0.091], [0.971, 0.160, 0.679], [0.979, 0.457, 0.849]],
  "total_energy_ev_per_atom": -8.3442
}

---

Record 6
{
  "formula": "K4PH5Se3O16",
  "functional": "meta-GGA SCAN",
  "state": "single point on PBEsol structure",
  "lattice_angstrom": [[7.434, 0.000, 0.000], [0.617, 7.660, 0.000], [0.409, 2.473, 7.344]],
  "species": ["K", "K", "K", "K", "P", "H", "H", "H", "H", "H", "Se", "Se", "Se", "O", "O", "O", "O", "O", "O", "O", "O", "O", "O", "O", "O", "O", "O", "O", "O"],
  "frac_coords": [[0.000, 0.000, 0.000], [0.058, 0.488, 0.434], [0.366, 0.559, 0.876], [0.695, 0.937, 0.548], [0.567, 0.466, 0.407], [0.285, 0.172, 0.240], [0.402, 0.679, 0.181], [0.526, 0.271, 0.690], [0.666, 0.754, 0.294], [0.768, 0.317, 0.197], [0.160, 0.959, 0.494], [0.499, 0.017, 0.019], [0.899, 0.526, 0.940], [0.018, 0.612, 0.064], [0.027, 0.478, 0.780], [0.034, 0.007, 0.656], [0.041, 0.875, 0.370], [0.219, 0.179, 0.360], [0.350, 0.836, 0.560], [0.367, 0.188, 0.054], [0.368, 0.845, 0.033], [0.408, 0.544, 0.275], [0.477, 0.399, 0.602], [0.598, 0.094, 0.814], [0.659, 0.940, 0.173], [0.681, 0.310, 0.370], [0.686, 0.628, 0.399], [0.713, 0.653, 0.869], [0.837, 0.309, 0.076]],
  "total_energy_ev_per_atom": -9.0539
}

---

Record 7
{
  "formula": "K4PH5Se3O16",
  "functional": "meta-GGA SCAN",
  "state": "single point on PBEsol structure",
  "lattice_angstrom": [[7.678, 0.000, 0.000], [2.496, 7.349, 0.000], [1.169, 0.405, 14.810]],
  "species": ["K", "K", "K", "K", "K", "K", "K", "K", "P", "P", "H", "H", "H", "H", "H", "H", "H", "H", "H", "H", "Se", "Se", "Se", "Se", "Se", "Se", "O", "O", "O", "O", "O", "O", "O", "O", "O", "O", "O", "O", "O", "O", "O", "O", "O", "O", "O", "O", "O", "O", "O", "O", "O", "O", "O", "O", "O", "O", "O", "O"],
  "frac_coords": [[0.184, 0.341, 0.332], [0.194, 0.331, 0.833], [0.252, 0.784, 0.486], [0.261, 0.781, 0.986], [0.739, 0.219, 0.014], [0.748, 0.216, 0.514], [0.806, 0.669, 0.167], [0.816, 0.659, 0.668], [0.277, 0.808, 0.231], [0.723, 0.192, 0.769], [0.011, 0.078, 0.819], [0.063, 0.036, 0.313], [0.425, 0.017, 0.132], [0.430, 0.025, 0.627], [0.471, 0.526, 0.252], [0.529, 0.474, 0.748], [0.570, 0.975, 0.373], [0.575, 0.983, 0.868], [0.937, 0.964, 0.687], [0.989, 0.922, 0.181], [0.217, 0.278, 0.564], [0.218, 0.276, 0.066], [0.274, 0.803, 0.735], [0.726, 0.197, 0.265], [0.782, 0.724, 0.934], [0.783, 0.722, 0.436], [0.090, 0.350, 0.159], [0.094, 0.342, 0.659], [0.102, 0.817, 0.670], [0.115, 0.816, 0.172], [0.130, 0.153, 0.007], [0.133, 0.153, 0.504], [0.197, 0.956, 0.815], [0.199, 0.942, 0.311], [0.262, 0.441, 0.502], [0.269, 0.434, 0.002], [0.344, 0.614, 0.277], [0.352, 0.597, 0.784], [0.433, 0.139, 0.098], [0.433, 0.845, 0.174], [0.437, 0.144, 0.593], [0.445, 0.839, 0.669], [0.555, 0.161, 0.331], [0.563, 0.856, 0.407], [0.567, 0.155, 0.826], [0.567, 0.861, 0.902], [0.648, 0.403, 0.216], [0.656, 0.386, 0.723], [0.731, 0.566, 0.998], [0.738, 0.559, 0.498], [0.801, 0.058, 0.689], [0.803, 0.044, 0.185], [0.867, 0.847, 0.496], [0.870, 0.847, 0.993], [0.885, 0.184, 0.828], [0.898, 0.183, 0.330], [0.906, 0.658, 0.341], [0.910, 0.650, 0.841]],
  "total_energy_ev_per_atom": -9.0540
}

---

Record 8
{
  "formula": "K2PH4Se3O2",
  "functional": "meta-GGA SCAN",
  "state": "single point on PBEsol structure",
  "lattice_angstrom": [[5.819, -6.346, 0.000], [5.819, 6.346, 0.000], [0.000, 0.000, 11.708]],
  "species": ["K", "K", "K", "K", "K", "K", "K", "K", "P", "P", "P", "P", "H", "H", "H", "H", "H", "H", "H", "H", "H", "H", "H", "H", "H", "H", "H", "H", "Se", "Se", "Se", "Se", "Se", "Se", "Se", "Se", "Se", "Se", "Se", "Se", "O", "O", "O", "O", "O", "O", "O", "O"],
  "frac_coords": [[0.025, 0.975, 0.861], [0.084, 0.416, 0.750], [0.416, 0.084, 0.250], [0.475, 0.525, 0.361], [0.525, 0.475, 0.639], [0.584, 0.916, 0.750], [0.916, 0.584, 0.250], [0.975, 0.025, 0.139], [0.081, 0.919, 0.541], [0.419, 0.581, 0.041], [0.581, 0.419, 0.959], [0.919, 0.081, 0.459], [0.082, 0.702, 0.014], [0.100, 0.318, 0.002], [0.182, 0.400, 0.498], [0.202, 0.582, 0.514], [0.298, 0.918, 0.014], [0.318, 0.100, 0.998], [0.400, 0.182, 0.502], [0.418, 0.798, 0.514], [0.582, 0.202, 0.486], [0.600, 0.818, 0.498], [0.682, 0.900, 0.002], [0.702, 0.082, 0.986], [0.798, 0.418, 0.486], [0.818, 0.600, 0.502], [0.900, 0.682, 0.998], [0.918, 0.298, 0.986], [0.069, 0.247, 0.356], [0.192, 0.808, 0.396], [0.247, 0.069, 0.644], [0.253, 0.431, 0.144], [0.308, 0.692, 0.896], [0.431, 0.253, 0.856], [0.569, 0.747, 0.144], [0.692, 0.308, 0.104], [0.747, 0.569, 0.856], [0.753, 0.931, 0.356], [0.808, 0.192, 0.604], [0.931, 0.753, 0.644], [0.016, 0.262, 0.955], [0.238, 0.484, 0.545], [0.262, 0.016, 0.045], [0.484, 0.238, 0.455], [0.516, 0.762, 0.545], [0.738, 0.984, 0.955], [0.762, 0.516, 0.455], [0.984, 0.738, 0.045]],
  "total_energy_ev_per_atom": -10.4778
}

---

Number 3 is which compound? KPHO3